DFT (GGA-PBE) results for crystalline SrMg2In at its relaxed geometry.

Geometry as CIF:
```
data_SrMg2In
_cell_length_a 3.7305
_cell_length_b 3.7305
_cell_length_c 30.7972
_cell_angle_alpha 90.00
_cell_angle_beta 90.00
_cell_angle_gamma 120.00
_symmetry_space_group_name_H-M 'P 1'
_symmetry_Int_Tables_number 1
loop_
_symmetry_equiv_pos_as_xyz
'x,y,z'
loop_
_atom_site_label
_atom_site_type_symbol
_atom_site_fract_x
_atom_site_fract_y
_atom_site_fract_z
_atom_site_occupancy
Sr1 Sr 0.0000 0.0000 0.0000 1
Sr2 Sr 0.3333 0.6667 0.6667 1
Sr3 Sr 0.6667 0.3333 0.3333 1
Mg1 Mg 0.0000 0.0000 0.5040 1
Mg2 Mg 0.0000 0.0000 0.7608 1
Mg3 Mg 0.3333 0.6667 0.1707 1
Mg4 Mg 0.3333 0.6667 0.4274 1
Mg5 Mg 0.6667 0.3333 0.0941 1
Mg6 Mg 0.6667 0.3333 0.8373 1
In1 In 0.0000 0.0000 0.2435 1
In2 In 0.3333 0.6667 0.9102 1
In3 In 0.6667 0.3333 0.5769 1
```

Computed properties:
Energy of formation from the pure elements: 42 meV per atom
Size of the total moment: 0.0 Bohr magnetons per cell
DOS at the Fermi energy: 6.78 states/eV per cell